Material: Sr3YS
Method: DFT, GGA-PBE
State: relaxed

Lattice parameters (Å, degrees): 6.3708 6.3708 6.3708 90.00 90.00 90.00
Site moments in Bohr magnetons follow the coordinates.
Element x y z (fractional)
Y1 0.0000 0.0000 0.0000  1.24
Sr1 0.0000 0.5000 0.0000  0.24
Sr2 0.0000 0.0000 0.5000  0.24
Sr3 0.5000 0.0000 0.0000  0.18
S1 0.5000 0.5000 0.5000  0.13

**Formation energy without anion corrections**: 366 kJ/mol of formula units
**Symmetry**: Pm-3m, No. 221
**DOS at the Fermi energy**: 0.34 states/eV/atom
**Magnetic moment**: 4.90 Bohr magnetons per cell
**VASP energy**: -0.1740 Ry/atom